Entry 1
This record from Alexandria via LeMat-Bulk describes a relaxed K3Ni2O4 crystal. The functional is PBE with a Hubbard U.

a = 5.494 Å, b = 5.494 Å, c = 10.685 Å
α = 90.00°, β = 90.00°, γ = 112.34°
Last column: magnetic moment on the atom in μB.
Positions (direct):
O 0.866 0.731 0.615  0.01
O 0.866 0.731 0.885  0.01
O 0.269 0.134 0.615  0.01
O 0.731 0.866 0.115  0.01
O 0.134 0.269 0.385  0.01
O 0.269 0.134 0.885  0.01
O 0.731 0.866 0.385  0.01
O 0.134 0.269 0.115  0.01
K 0.296 0.704 0.250  0.00
K 0.704 0.296 0.750  0.00
K 0.351 0.649 0.573  0.00
K 0.649 0.351 0.073  0.00
K 0.649 0.351 0.427  0.00
K 0.351 0.649 0.927  0.00
Ni 0.067 0.933 0.750  0.02
Ni 0.000 0.000 0.500  0.99
Ni 0.000 0.000 0.000  0.99
Ni 0.933 0.067 0.250  0.02

Values from the calculation:
Space group = Cmcm (63)

---

Entry 2
This record from Alexandria via LeMat-Bulk describes a relaxed K3Ni2O4 crystal. The functional is PBE with a Hubbard U.

a = 5.623 Å, b = 8.993 Å, c = 8.993 Å
α = 56.24°, β = 114.91°, γ = 114.91°
Last column: magnetic moment on the atom in μB.
Positions (direct):
K 0.862 0.992 0.292  0.00
K 0.638 0.708 0.008  0.00
K 0.138 0.008 0.708  0.00
K 0.362 0.292 0.992  0.00
K 0.250 0.635 0.365  0.00
K 0.750 0.365 0.635  0.00
Ni 0.528 0.181 0.403  1.85
Ni 0.972 0.597 0.819  1.85
Ni 0.472 0.819 0.597  1.85
Ni 0.028 0.403 0.181  1.85
O 0.364 0.985 0.332  0.26
O 0.136 0.668 0.015  0.26
O 0.636 0.015 0.668  0.26
O 0.864 0.332 0.985  0.26
O 0.265 0.277 0.398  0.26
O 0.235 0.602 0.723  0.26
O 0.735 0.723 0.602  0.26
O 0.765 0.398 0.277  0.26

Values from the calculation:
Space group = C2/c (15)

---

Which one sits at the top of the stability order? entry 1 does.

---

Entry 1
This record from Alexandria via LeMat-Bulk describes a relaxed KNi3O crystal. The functional is PBE with a Hubbard U.

a = 4.289 Å, b = 4.289 Å, c = 4.289 Å
α = 90.00°, β = 90.00°, γ = 90.00°
Last column: magnetic moment on the atom in μB.
Positions (direct):
Ni 0.000 0.500 0.000  0.95
Ni 0.000 0.000 0.500  0.97
Ni 0.500 0.000 0.000  0.87
K 0.500 0.500 0.500  -0.03
O 0.000 0.000 0.000  -0.14

Values from the calculation:
Space group = Pm-3m (221)

---

Entry 2
This record from Alexandria via LeMat-Bulk describes a relaxed KNi3O crystal. The functional is PBE with a Hubbard U.

a = 4.872 Å, b = 4.872 Å, c = 4.872 Å
α = 90.00°, β = 90.00°, γ = 90.00°
Last column: magnetic moment on the atom in μB.
Positions (direct):
Ni 0.000 0.500 0.000  0.99
Ni 0.000 0.000 0.500  1.01
Ni 0.500 0.000 0.000  0.99
K 0.000 0.000 0.000  -0.02
O 0.500 0.500 0.500  -0.08

Values from the calculation:
Space group = Pm-3m (221)

---

Which one sits at the top of the stability order? entry 1 does.